TaAlPd | PBE-GGA | optimized geometry

Summary:
- density (g cm⁻³) = 9.99
- formation enthalpy at 0 K (eV/atom) = -0.091
- D(E_F) (states/eV per cell) = 12.76

Cell lengths 4.2370, 4.2370, 20.1720 Å; angles 90.00, 90.00, 120.00 degrees
Last column: nearest neighbours and their distance in Å.
Space group R-3m (No. 166, hexagonal axes)
One atom of each set of equivalent atoms:
Ta1 0.0000 0.0000 0.2083 [6 per cell]  4 Pd 2.72-2.87, 3 Ta 2.97, 3 Al 3.03
Al1 0.0000 0.0000 0.3701 [6 per cell]  3 Pd 2.52
Pd1 0.0000 0.0000 0.0661 [6 per cell]  3 Al 2.52, 1 Pd 2.67, 3 Ta 2.72

Si2P | PBE-GGA | optimized geometry

Summary:
- distance to the lowest polymorph of the same formula (kJ/mol of formula units) = 65.7
- density (g cm⁻³) = 3.12
- E_form (uncorrected) (eV per atom) = 0.2305
- D(E_F) (states/eV per cell) = 1.14

Cell lengths 3.3709, 3.3709, 9.4403 Å; angles 90.00, 90.00, 120.00 degrees
Last column: nearest neighbours and their distance in Å.
Space group P6_3/mmc (No. 194)
One atom of each set of equivalent atoms:
Si1 0.3333 0.6667 0.0880 [4 per cell]  3 P 2.48, 3 Si 2.56
P1 0.0000 0.0000 0.2500 [2 per cell]  6 Si 2.48

TbHo4Zr | PBE-GGA | optimized geometry

Summary:
- distance to the lowest polymorph of the same formula (kJ/mol of formula units) = 0.0
- density (g cm⁻³) = 8.54
- formation enthalpy at 0 K (eV/atom) = 0.057
- D(E_F) (states/eV per cell) = 7.73

Cell lengths 3.4627, 6.9876, 7.7137 Å; angles 103.05, 102.91, 90.18 degrees
Last column: nearest neighbours and their distance in Å.
Space group P-1 (No. 2)
One atom of each set of equivalent atoms:
Tb1 0.0000 0.0000 0.0000 [1 per cell]  8 Ho 3.43-3.45, 2 Tb 3.46, 2 Zr 3.49
Ho1 0.3378 0.1797 0.6768 [2 per cell]  8 Ho 3.35-3.65, 2 Zr 3.37-3.38, 2 Tb 3.45
Ho2 0.3402 0.6598 0.6795 [2 per cell]  8 Ho 3.35-3.64, 2 Zr 3.36, 2 Tb 3.43-3.44
Zr1 0.0000 0.5000 0.0000 [1 per cell]  8 Ho 3.36-3.38, 2 Zr 3.46, 2 Tb 3.49

LiBeAu | PBE-GGA | optimized geometry

Summary:
- distance to the lowest polymorph of the same formula (kJ/mol of formula units) = 0.0
- density (g cm⁻³) = 7.65
- formation enthalpy at 0 K (eV/atom) = -0.188
- D(E_F) (states/eV per cell) = 3.44

Cell lengths 3.0182, 3.0182, 20.2901 Å; angles 90.00, 90.00, 90.00 degrees
Last column: nearest neighbours and their distance in Å.
Space group I4/mmm (No. 139)
One atom of each set of equivalent atoms:
Li1 0.0000 0.0000 0.0736 [4 per cell]  4 Au 2.76, 1 Be 2.94, 5 Li 2.99-3.02
Be1 0.0000 0.0000 0.2185 [4 per cell]  5 Au 2.45-2.47, 4 Be 2.49
Au1 0.0000 0.0000 0.3404 [4 per cell]  5 Be 2.45-2.47

TbCuAgSn | PBE-GGA | optimized geometry

Summary:
- density (g cm⁻³) = 9.16
- formation enthalpy at 0 K (eV/atom) = -0.336
- D(E_F) (states/eV per cell) = 7.71

Cell lengths 6.8787, 6.8787, 6.8787 Å; angles 90.00, 90.00, 90.00 degrees
Last column: nearest neighbours and their distance in Å.
Space group F-43m (No. 216)
One atom of each set of equivalent atoms:
Tb1 0.0000 0.0000 0.0000 [4 per cell]  4 Cu 2.98, 4 Ag 2.98
Cu1 0.2500 0.2500 0.2500 [4 per cell]  4 Tb 2.98, 4 Sn 2.98
Ag1 0.2500 0.2500 0.7500 [4 per cell]  4 Tb 2.98, 4 Sn 2.98
Sn1 0.0000 0.0000 0.5000 [4 per cell]  4 Cu 2.98, 4 Ag 2.98

Pm8Y6Ho | PBE-GGA | optimized geometry

Summary:
- distance to the lowest polymorph of the same formula (kJ/mol of formula units) = 75.7
- density (g cm⁻³) = 6.07
- formation enthalpy at 0 K (eV/atom) = 0.166
- D(E_F) (states/eV per cell) = 24.25

Cell lengths 9.4398, 9.4398, 6.5859 Å; angles 90.00, 90.00, 120.00 degrees
Last column: nearest neighbours and their distance in Å.
Space group P-3 (No. 147)
One atom of each set of equivalent atoms:
Pm1 0.0367 0.7518 0.1655 [6 per cell]  3 Pm 3.29-3.34, 4 Y 3.32-3.60, 1 Ho 3.36
Pm2 0.3333 0.6667 0.1218 [2 per cell]  3 Pm 3.29
Y1 0.0929 0.6566 0.6582 [6 per cell]  1 Y 3.31, 4 Pm 3.32-3.60
Ho1 0.0000 0.0000 0.5000 [1 per cell]  6 Pm 3.36

RbSrPrBr6 | PBE-GGA | optimized geometry

Summary:
- density (g cm⁻³) = 3.34
- E_form (uncorrected) (eV per atom) = -1.9549
- D(E_F) (states/eV per cell) = 0.00

Cell lengths 7.8796, 7.8796, 14.6508 Å; angles 90.00, 90.00, 120.00 degrees
Last column: nearest neighbours and their distance in Å.
Space group P-31c (No. 163)
One atom of each set of equivalent atoms:
Rb1 0.0000 0.0000 0.0000 [2 per cell]  6 Br 3.54
Sr1 0.3333 0.6667 0.2500 [2 per cell]  6 Br 3.07
Pr1 0.3333 0.6667 0.7500 [2 per cell]  6 Br 2.94
Br1 0.0131 0.3780 0.6352 [12 per cell]  1 Pr 2.94, 1 Sr 3.07

CeNd15Ho4 | PBE-GGA | optimized geometry

Summary:
- density (g cm⁻³) = 7.18
- formation enthalpy at 0 K (eV/atom) = 0.027
- D(E_F) (states/eV per cell) = 32.95

Cell lengths 5.1611, 5.1611, 25.7255 Å; angles 90.00, 90.00, 90.00 degrees
Last column: nearest neighbours and their distance in Å.
Space group P4/mmm (No. 123)
One atom of each set of equivalent atoms:
Ce1 0.0000 0.0000 0.0000 [1 per cell]  12 Nd 3.63-3.65
Nd1 0.0000 0.5000 0.0994 [4 per cell]  2 Ce 3.63, 8 Nd 3.63-3.68, 2 Ho 3.65
Nd2 0.0000 0.5000 0.2998 [4 per cell]  8 Nd 3.62-3.65, 4 Ho 3.64-3.65
Nd3 0.0000 0.5000 0.5000 [2 per cell]  8 Nd 3.64-3.65, 4 Ho 3.65
Nd4 0.5000 0.5000 0.0000 [1 per cell]  8 Nd 3.63, 4 Ce 3.65
Nd5 0.5000 0.5000 0.2013 [2 per cell]  8 Nd 3.62-3.68, 4 Ho 3.65
Nd6 0.5000 0.5000 0.4003 [2 per cell]  8 Nd 3.64-3.65, 4 Ho 3.65
Ho1 0.0000 0.0000 0.1999 [2 per cell]  12 Nd 3.64-3.65
Ho2 0.0000 0.0000 0.3999 [2 per cell]  12 Nd 3.65

ZnCd2Ge2Pt5 | PBE-GGA | optimized geometry

Summary:
- density (g cm⁻³) = 13.77
- formation enthalpy at 0 K (eV/atom) = -0.296
- D(E_F) (states/eV per cell) = 5.53

Cell lengths 10.0667, 10.0667, 3.3573 Å; angles 90.00, 90.00, 90.00 degrees
Last column: nearest neighbours and their distance in Å.
Space group P4/mbm (No. 127)
One atom of each set of equivalent atoms:
Zn1 0.0000 0.0000 0.0000 [2 per cell]  8 Pt 2.68
Cd1 0.1739 0.3261 0.0000 [4 per cell]  1 Ge 2.68, 6 Pt 2.88-2.99
Ge1 0.1381 0.6381 0.0000 [4 per cell]  6 Pt 2.57-2.59, 1 Cd 2.68
Pt1 0.0000 0.5000 0.5000 [2 per cell]  4 Ge 2.59
Pt2 0.0244 0.7944 0.5000 [8 per cell]  2 Ge 2.57, 2 Zn 2.68, 2 Cd 2.88

MgTcSbI2 | PBE-GGA | optimized geometry

Summary:
- distance to the lowest polymorph of the same formula (kJ/mol of formula units) = 208.2
- density (g cm⁻³) = 4.69
- E_form (uncorrected) (eV per atom) = 0.8584
- D(E_F) (states/eV per cell) = 3.52

Cell lengths 5.5102, 5.5102, 5.8119 Å; angles 90.00, 90.00, 90.00 degrees
Last column: nearest neighbours and their distance in Å.
Space group P4/mmm (No. 123)
One atom of each set of equivalent atoms:
Mg1 0.0000 0.0000 0.0000 [1 per cell]  4 I 2.76, 2 Sb 2.91
Tc1 0.5000 0.5000 0.5000 [1 per cell]  4 Sb 3.90, 8 I 4.00
Sb1 0.0000 0.0000 0.5000 [1 per cell]  2 Mg 2.91
I1 0.0000 0.5000 0.0000 [2 per cell]  2 Mg 2.76

TcPbCl2 | PBE-GGA | optimized geometry

Summary:
- distance to the lowest polymorph of the same formula (kJ/mol of formula units) = 137.0
- density (g cm⁻³) = 6.45
- E_form (uncorrected) (eV per atom) = 0.1862
- D(E_F) (states/eV per cell) = 5.46

Cell lengths 3.3815, 6.0310, 9.4945 Å; angles 90.00, 90.00, 90.00 degrees
Last column: nearest neighbours and their distance in Å.
Space group Cmm2 (No. 35)
One atom of each set of equivalent atoms:
Tc1 0.0000 0.0000 0.0000 [2 per cell]  2 Cl 2.34
Pb1 0.0000 0.5000 0.2457 [2 per cell]  2 Cl 2.75, 2 Tc 2.88
Cl1 0.0000 0.0000 0.4739 [2 per cell]  2 Pb 2.75
Cl2 0.0000 0.5000 0.8295 [2 per cell]  2 Tc 2.34

KScTi | PBE-GGA | optimized geometry

Summary:
- distance to the lowest polymorph of the same formula (kJ/mol of formula units) = 47.8
- density (g cm⁻³) = 2.19
- formation enthalpy at 0 K (eV/atom) = 0.403
- D(E_F) (states/eV per cell) = 5.87

Cell lengths 3.2370, 4.8257, 12.8761 Å; angles 90.00, 96.70, 90.00 degrees
Last column: nearest neighbours and their distance in Å.
Space group Pm (No. 6)
One atom of each set of equivalent atoms:
K1 0.0000 0.0000 0.0000 [1 per cell]  2 K 3.24, 1 Sc 3.60
K2 0.3556 0.5000 0.7066 [1 per cell]  2 K 3.24
Sc1 0.1642 0.0000 0.2817 [1 per cell]  6 Ti 2.88-3.00, 2 Sc 3.13
Sc2 0.7602 0.0000 0.4909 [1 per cell]  4 Ti 3.11, 4 Sc 3.13-3.24
Ti1 0.2196 0.5000 0.4042 [1 per cell]  2 Ti 2.81, 6 Sc 2.88-3.11
Ti2 0.6364 0.5000 0.2250 [1 per cell]  2 Ti 2.81, 4 Sc 2.99-3.00

CsBaBeIn2 | PBE-GGA | optimized geometry

Summary:
- density (g cm⁻³) = 3.09
- formation enthalpy at 0 K (eV/atom) = 1.380
- D(E_F) (states/eV per cell) = 6.17

Cell lengths 6.2888, 6.2888, 6.9188 Å; angles 90.00, 90.00, 90.00 degrees
Last column: nearest neighbours and their distance in Å.
Space group P4/mmm (No. 123)
One atom of each set of equivalent atoms:
Cs1 0.0000 0.0000 0.0000 [1 per cell]  4 In 3.14, 2 Ba 3.46
Ba1 0.0000 0.0000 0.5000 [1 per cell]  2 Cs 3.46
Be1 0.5000 0.5000 0.5000 [1 per cell]  4 Ba 4.45, 8 In 4.67
In1 0.0000 0.5000 0.0000 [2 per cell]  2 Cs 3.14

CaNbC3 | PBE-GGA | optimized geometry

Summary:
- distance to the lowest polymorph of the same formula (kJ/mol of formula units) = 0.0
- density (g cm⁻³) = 3.73
- formation enthalpy at 0 K (eV/atom) = 1.077
- D(E_F) (states/eV per cell) = 3.53

Cell lengths 4.2218, 4.2218, 4.2218 Å; angles 90.00, 90.00, 90.00 degrees
Last column: nearest neighbours and their distance in Å.
Space group Pm-3m (No. 221)
One atom of each set of equivalent atoms:
Ca1 0.0000 0.0000 0.0000 [1 per cell]  12 C 2.99
Nb1 0.5000 0.5000 0.5000 [1 per cell]  6 C 2.11
C1 0.0000 0.5000 0.5000 [3 per cell]  2 Nb 2.11

La3Si3Ni | PBE-GGA | optimized geometry

Summary:
- distance to the lowest polymorph of the same formula (kJ/mol of formula units) = 11.4
- density (g cm⁻³) = 5.77
- E_form (uncorrected) (eV per atom) = -0.7165
- D(E_F) (states/eV per cell) = 21.01

Cell lengths 11.4162, 4.2753, 14.0414 Å; angles 90.00, 110.04, 90.00 degrees
Last column: nearest neighbours and their distance in Å.
Space group C2/m (No. 12)
One atom of each set of equivalent atoms:
La1 0.0274 0.0000 0.3904 [4 per cell]  5 Si 3.11-3.12, 4 Ni 3.18-3.36, 1 La 3.34
La2 0.1075 0.0000 0.9196 [4 per cell]  7 Si 3.09-3.35
La3 0.2492 0.0000 0.2302 [4 per cell]  5 Si 3.01-3.13, 2 Ni 3.14
Si1 0.0517 0.5000 0.2364 [4 per cell]  1 Ni 2.41, 1 Si 2.49
Si2 0.0965 0.5000 0.0752 [4 per cell]  2 Si 2.47-2.49
Si3 0.1832 0.5000 0.5425 [4 per cell]  3 Ni 2.40-2.41
Ni1 0.2330 0.5000 0.3889 [4 per cell]  4 Si 2.40-2.41

InCoBiPb2 | PBE-GGA | optimized geometry

Summary:
- density (g cm⁻³) = 9.84
- formation enthalpy at 0 K (eV/atom) = 0.169
- D(E_F) (states/eV per cell) = 4.43

Cell lengths 5.1544, 5.1544, 5.0609 Å; angles 90.00, 90.00, 90.00 degrees
Last column: nearest neighbours and their distance in Å.
Space group P4/mmm (No. 123)
One atom of each set of equivalent atoms:
In1 0.0000 0.0000 0.0000 [1 per cell]  2 Co 2.53
Co1 0.0000 0.0000 0.5000 [1 per cell]  2 In 2.53, 4 Pb 2.58
Bi1 0.5000 0.5000 0.0000 [1 per cell]  8 Pb 3.61, 4 In 3.64
Pb1 0.0000 0.5000 0.5000 [2 per cell]  2 Co 2.58

LaReCl4 | PBE-GGA | optimized geometry

Summary:
- density (g cm⁻³) = 5.35
- E_form (uncorrected) (eV per atom) = 0.3758
- D(E_F) (states/eV per cell) = 21.47

Cell lengths 8.3369, 8.3369, 8.3369 Å; angles 90.00, 90.00, 90.00 degrees
Last column: nearest neighbours and their distance in Å.
Space group F-43m (No. 216)
One atom of each set of equivalent atoms:
La1 0.0000 0.0000 0.0000 [4 per cell]  12 Cl 3.46, 4 Re 3.61
Re1 0.2500 0.2500 0.7500 [4 per cell]  12 Cl 3.46, 4 La 3.61
Cl1 0.1252 0.1252 0.3748 [16 per cell]  6 Cl 2.94-2.95

Pa6GeAs2Se3 | PBE-GGA | optimized geometry

Summary:
- density (g cm⁻³) = 10.57
- E_form (uncorrected) (eV per atom) = -1.0559
- D(E_F) (states/eV per cell) = 36.02

Cell lengths 17.6783, 4.1518, 8.0539 Å; angles 90.00, 101.26, 90.00 degrees
Last column: nearest neighbours and their distance in Å.
Space group C2/m (No. 12)
One atom of each set of equivalent atoms:
Pa1 0.9997 0.0000 0.2493 [4 per cell]  3 Se 2.89, 1 As 2.89, 2 Ge 2.90
Pa2 0.1664 0.5000 0.0832 [4 per cell]  3 Se 2.89, 3 As 2.89
Pa3 0.1669 0.5000 0.5831 [4 per cell]  3 Se 2.89-2.90, 2 As 2.89, 1 Ge 2.90
Ge1 0.0000 0.5000 0.5000 [2 per cell]  6 Pa 2.90
As1 0.1670 0.0000 0.8333 [4 per cell]  6 Pa 2.89
Se1 0.0000 0.5000 0.0000 [2 per cell]  6 Pa 2.89
Se2 0.1662 0.0000 0.3329 [4 per cell]  6 Pa 2.89-2.90

AgHgRh2 | PBE-GGA | optimized geometry

Summary:
- density (g cm⁻³) = 12.72
- formation enthalpy at 0 K (eV/atom) = 0.333
- D(E_F) (states/eV per cell) = 6.44

Cell lengths 3.2898, 3.2898, 6.2054 Å; angles 90.00, 90.00, 90.00 degrees
Last column: nearest neighbours and their distance in Å.
Space group P4/mmm (No. 123)
One atom of each set of equivalent atoms:
Ag1 0.0000 0.0000 0.0000 [1 per cell]  8 Rh 2.77, 2 Hg 3.10
Hg1 0.0000 0.0000 0.5000 [1 per cell]  8 Rh 2.82, 2 Ag 3.10
Rh1 0.5000 0.5000 0.2434 [2 per cell]  4 Ag 2.77, 4 Hg 2.82, 1 Rh 3.02

P2Se4Br | PBE-GGA | optimized geometry

Summary:
- density (g cm⁻³) = 2.95
- E_form (uncorrected) (eV per atom) = 0.0131

Cell lengths 6.6394, 8.8265, 9.6974 Å; angles 65.81, 86.37, 84.03 degrees
Last column: nearest neighbours and their distance in Å.
Space group P1 (No. 1)
One atom of each set of equivalent atoms:
P1 0.0000 0.0000 0.0000 [1 per cell]  4 Se 2.36-2.47
P2 0.0887 0.9715 0.3606 [1 per cell]  3 Se 2.28-2.43
P3 0.4772 0.9914 0.1173 [1 per cell]  3 Se 2.25-2.42
P4 0.8027 0.7921 0.8402 [1 per cell]  3 Se 2.23-2.33
Se1 0.1228 0.8304 0.8635 [1 per cell]  2 P 2.23-2.43
Se2 0.2433 0.7993 0.2453 [1 per cell]  2 P 2.33-2.35
Se3 0.2860 0.1563 0.9181 [1 per cell]  2 P 2.25-2.37
Se4 0.3766 0.1342 0.3212 [1 per cell]  1 P 2.43, 2 Br 2.46-2.71
Se5 0.6856 0.0531 0.6791 [1 per cell]  1 P 2.28, 1 Se 2.42
Se6 0.7071 0.7789 0.0803 [1 per cell]  2 P 2.33-2.42
Se7 0.7863 0.2047 0.8184 [1 per cell]  1 P 2.36, 1 Se 2.42
Se8 0.8669 0.1271 0.1749 [1 per cell]  2 P 2.28-2.47
Br1 0.2416 0.4130 0.1463 [1 per cell]  1 Se 2.46
Br2 0.5303 0.8344 0.5245 [1 per cell]  1 Se 2.71